# 1
A plane-wave DFT calculation with PBE was carried out for a relaxed Nd5Al4Zn crystal.

Its raw total energy is -43.492 eV per formula unit. As for the crystal system: tetragonal. For the density, the calculation gives 5.8 Mg/m³. The calculation puts the density of states at the Fermi level at 6.63 states/eV/cell.

It has space group P4/mmm (No. 123), with a = 3.710 Å, b = 3.710 Å, c = 18.757 Å, α = 90.00°, β = 90.00° and γ = 90.00°. The inequivalent atoms are Nd at (0.000, 0.000, 0.000), Nd at (0.000, 0.000, 0.201), Nd at (0.000, 0.000, 0.403), Al at (0.500, 0.500, 0.100), Al at (0.500, 0.500, 0.303) and Zn at (0.500, 0.500, 0.500).

***

# 2
A plane-wave DFT calculation with PBE was carried out for a relaxed Nd3AlZn crystal.

Its raw total energy is -20.544 eV per formula unit. As for the crystal system: orthorhombic. For the density, the calculation gives 6.3 Mg/m³. The calculation puts the density of states at the Fermi level at 21.33 states/eV/cell.

It has space group Cmcm (No. 63), with a = 5.278 Å, b = 19.921 Å, c = 5.281 Å, α = 90.00°, β = 90.00° and γ = 90.00°. The inequivalent atoms are Nd at (0.000, 0.065, 0.250), Nd at (0.000, 0.248, 0.250), Nd at (0.000, 0.430, 0.250), Al at (0.000, 0.158, 0.750) and Zn at (0.000, 0.342, 0.750).

***

The lowest density belongs to which entry? Nd5Al4Zn

***

Copy entry 1 word for word.
A plane-wave DFT calculation with PBE was carried out for a relaxed Nd5Al4Zn crystal.

Its raw total energy is -43.492 eV per formula unit. As for the crystal system: tetragonal. For the density, the calculation gives 5.8 Mg/m³. The calculation puts the density of states at the Fermi level at 6.63 states/eV/cell.

It has space group P4/mmm (No. 123), with a = 3.710 Å, b = 3.710 Å, c = 18.757 Å, α = 90.00°, β = 90.00° and γ = 90.00°. The inequivalent atoms are Nd at (0.000, 0.000, 0.000), Nd at (0.000, 0.000, 0.201), Nd at (0.000, 0.000, 0.403), Al at (0.500, 0.500, 0.100), Al at (0.500, 0.500, 0.303) and Zn at (0.500, 0.500, 0.500).

***

What is the density in the first record? 5.8 Mg/m³